## CdGeBiO5 (PBE)

Data for CdGeBiO5 after structural relaxation.

Cell and atoms, written as POSCAR:
```
CdGeBiO5
1.0
3.591 -4.604 0.000
3.591 4.604 0.000
-3.244 0.000 7.254
Cd Ge Bi O
2 2 2 10
direct
0.164 0.836 0.750
0.836 0.164 0.250
0.175 0.825 0.250
0.825 0.175 0.750
0.500 0.500 0.000
0.500 0.500 0.500
0.116 0.210 0.914
0.161 0.591 0.358
0.210 0.116 0.414
0.402 0.598 0.750
0.409 0.839 0.142
0.591 0.161 0.858
0.598 0.402 0.250
0.790 0.884 0.586
0.839 0.409 0.642
0.884 0.790 0.086
```

Results
Magnetic moment (μB/f.u.): 0.00
Crystal system: monoclinic
Formation energy from raw total energies (eV per atom): -1.241

## CdGeBiP2 (PBE)

Data for CdGeBiP2 after structural relaxation.

Cell and atoms, written as POSCAR:
```
CdGeBiP2
1.0
4.825 0.000 0.000
0.000 4.825 0.000
0.000 0.000 5.120
Cd Ge Bi P
1 1 1 2
direct
0.000 0.000 0.000
0.000 0.000 0.500
0.500 0.500 0.000
0.000 0.500 0.500
0.500 0.000 0.500
```

Results
Formation enthalpy at 0 K (eV per atom): 0.658
Magnetic moment (μB/f.u.): 0.00
Crystal system: tetragonal

## PmCdGeBi (PBE)

Data for PmCdGeBi after structural relaxation.

Cell and atoms, written as POSCAR:
```
PmCdGeBi
1.0
0.000 3.751 3.751
3.751 0.000 3.751
3.751 3.751 0.000
Pm Cd Ge Bi
1 1 1 1
direct
0.000 0.000 0.000
0.500 0.500 0.500
0.750 0.750 0.750
0.250 0.250 0.250
```

Results
Formation enthalpy at 0 K (eV per atom): -0.153
Magnetic moment (μB/f.u.): 0.00
Crystal system: cubic

| no. | Fermi-level density of states (states/eV/cell) | final energy (eV per atom) |
| --- | --- | --- |
| 1 | 2.9 | -5.52 |
| 2 | 3.1 | -3.39 |
| 3 | 3.4 | -3.69 |